Record 1
The following is a PBE calculation of a geometry-optimized TaCo2Mo structure, from Alexandria.

Values from the calculation:
Relative energy among the computed polymorphs, eV per atom: 0.015
Uncorrected energy, eV per formula unit: -37.05
ΔH_f (0 K), eV per atom: -0.04
Space group: P2/m
Magnetic moment, μB/f.u.: 0.0

a b c (Å): 2.7384 3.6594 5.4220
angles (deg): 90.00 90.64 90.00
Sites, in units of the cell vectors:
1 Ta 0.0000 0.0000 0.0000
2 Co 0.4995 0.5000 0.2587
3 Co 0.5005 0.5000 0.7413
4 Mo 0.0000 0.0000 0.5000


Record 2
The following is a PBE calculation of a geometry-optimized Ta2Ti5Co2Mo structure, from Alexandria.

Values from the calculation:
Uncorrected energy, eV per formula unit: -89.45
ΔH_f (0 K), eV per atom: -0.12
Space group: P4/mbm
Magnetic moment, μB/f.u.: 0.0

a b c (Å): 10.0614 10.0614 3.1201
angles (deg): 90.00 90.00 90.00
Sites, in units of the cell vectors:
1 Ta 0.1788 0.3212 0.0000
2 Ta 0.3212 0.8212 0.0000
3 Ta 0.6788 0.1788 0.0000
4 Ta 0.8212 0.6788 0.0000
5 Ti 0.0000 0.5000 0.5000
6 Ti 0.0577 0.7963 0.5000
7 Ti 0.2037 0.0577 0.5000
8 Ti 0.2963 0.5577 0.5000
9 Ti 0.4423 0.2963 0.5000
10 Ti 0.5000 0.0000 0.5000
11 Ti 0.5577 0.7037 0.5000
12 Ti 0.7037 0.4423 0.5000
13 Ti 0.7963 0.9423 0.5000
14 Ti 0.9423 0.2037 0.5000
15 Co 0.1261 0.6261 0.0000
16 Co 0.3739 0.1261 0.0000
17 Co 0.6261 0.8739 0.0000
18 Co 0.8739 0.3739 0.0000
19 Mo 0.0000 0.0000 0.0000
20 Mo 0.5000 0.5000 0.0000


Record 3
The following is a PBE calculation of a geometry-optimized TaVCoMo structure, from Alexandria.

Values from the calculation:
Uncorrected energy, eV per formula unit: -39.25
ΔH_f (0 K), eV per atom: -0.09
Space group: F-43m
Magnetic moment, μB/f.u.: 1.0

a b c (Å): 4.3499 4.3499 4.3499
angles (deg): 60.00 60.00 60.00
Sites, in units of the cell vectors:
1 Ta 0.0000 0.0000 0.0000
2 V 0.5000 0.5000 0.5000
3 Co 0.7500 0.7500 0.7500
4 Mo 0.2500 0.2500 0.2500


Record 4
The following is a PBE calculation of a geometry-optimized ZrTaCoMo structure, from Alexandria.

Values from the calculation:
Uncorrected energy, eV per formula unit: -38.91
ΔH_f (0 K), eV per atom: -0.14
Space group: F-43m
Magnetic moment, μB/f.u.: 0.4

a b c (Å): 4.5337 4.5337 4.5337
angles (deg): 60.00 60.00 60.00
Sites, in units of the cell vectors:
1 Zr 0.0000 0.0000 0.0000
2 Ta 0.5000 0.5000 0.5000
3 Co 0.7500 0.7500 0.7500
4 Mo 0.2500 0.2500 0.2500


Record 5
The following is a PBE calculation of a geometry-optimized CoTcMo2 structure, from Alexandria.

Values from the calculation:
Relative energy among the computed polymorphs, eV per atom: 0.052
Uncorrected energy, eV per formula unit: -38.54
ΔH_f (0 K), eV per atom: 0.15
Space group: P4/mmm
Magnetic moment, μB/f.u.: 0.3

a b c (Å): 2.7285 2.7285 7.6362
angles (deg): 90.00 90.00 90.00
Sites, in units of the cell vectors:
1 Co 0.0000 0.0000 0.0000
2 Tc 0.0000 0.0000 0.5000
3 Mo 0.5000 0.5000 0.2348
4 Mo 0.5000 0.5000 0.7652


Record 6
The following is a PBE calculation of a geometry-optimized CoTcMo2 structure, from Alexandria.

Values from the calculation:
Relative energy among the computed polymorphs, eV per atom: 0.055
Uncorrected energy, eV per formula unit: -38.53
ΔH_f (0 K), eV per atom: 0.15
Space group: Pmmm
Magnetic moment, μB/f.u.: 0.0

a b c (Å): 2.7510 3.7747 5.4943
angles (deg): 90.00 90.00 90.00
Sites, in units of the cell vectors:
1 Co 0.0000 0.0000 0.0000
2 Tc 0.0000 0.0000 0.5000
3 Mo 0.5000 0.5000 0.2417
4 Mo 0.5000 0.5000 0.7583


Record 7
The following is a PBE calculation of a geometry-optimized CoTcMo2 structure, from Alexandria.

Values from the calculation:
Relative energy among the computed polymorphs, eV per atom: 0.594
Uncorrected energy, eV per formula unit: -36.37
ΔH_f (0 K), eV per atom: 0.69
Space group: I-42d
Magnetic moment, μB/f.u.: 0.0

a b c (Å): 5.4854 5.4854 5.4854
angles (deg): 103.04 103.04 123.28
Sites, in units of the cell vectors:
1 Co 0.0000 0.0000 0.0000
2 Co 0.7500 0.2500 0.5000
3 Tc 0.2500 0.7500 0.5000
4 Tc 0.5000 0.5000 0.0000
5 Mo 0.1065 0.6250 0.9815
6 Mo 0.3750 0.3565 0.4815
7 Mo 0.6435 0.1250 0.0185
8 Mo 0.8750 0.8935 0.5185


Record 8
The following is a PBE calculation of a geometry-optimized Co2Tc2Mo structure, from Alexandria.

Values from the calculation:
Relative energy among the computed polymorphs, eV per atom: 0.000
Uncorrected energy, eV per formula unit: -45.13
ΔH_f (0 K), eV per atom: 0.13
Space group: P4/mbm
Magnetic moment, μB/f.u.: 0.0

a b c (Å): 7.0935 7.0935 2.6453
angles (deg): 90.00 90.00 90.00
Sites, in units of the cell vectors:
1 Co 0.1195 0.3805 0.0000
2 Co 0.3805 0.8805 0.0000
3 Co 0.6195 0.1195 0.0000
4 Co 0.8805 0.6195 0.0000
5 Tc 0.1753 0.6753 0.5000
6 Tc 0.3247 0.1753 0.5000
7 Tc 0.6753 0.8247 0.5000
8 Tc 0.8247 0.3247 0.5000
9 Mo 0.0000 0.0000 0.0000
10 Mo 0.5000 0.5000 0.0000


Record 9
The following is a PBE calculation of a geometry-optimized CoTcMo2 structure, from Alexandria.

Values from the calculation:
Relative energy among the computed polymorphs, eV per atom: 0.177
Uncorrected energy, eV per formula unit: -38.04
ΔH_f (0 K), eV per atom: 0.27
Space group: R3m
Magnetic moment, μB/f.u.: 0.7

a b c (Å): 9.1756 9.1756 9.1756
angles (deg): 17.04 17.04 17.04
Sites, in units of the cell vectors:
1 Co 0.0000 0.0000 0.0000
2 Tc 0.2573 0.2573 0.2573
3 Mo 0.5038 0.5038 0.5038
4 Mo 0.7450 0.7450 0.7450


Record 10
The following is a PBE calculation of a geometry-optimized CoTc2Mo structure, from Alexandria.

Values from the calculation:
Relative energy among the computed polymorphs, eV per atom: 0.090
Uncorrected energy, eV per formula unit: -38.15
ΔH_f (0 K), eV per atom: 0.13
Space group: Cm
Magnetic moment, μB/f.u.: 0.0

a b c (Å): 4.6577 4.6577 4.6896
angles (deg): 99.64 99.64 33.87
Sites, in units of the cell vectors:
1 Co 0.0000 0.0000 0.0000
2 Tc 0.2606 0.2606 0.7544
3 Tc 0.5045 0.5045 0.5120
4 Mo 0.7450 0.7450 0.2333


Record 11
The following is a PBE calculation of a geometry-optimized Co2Tc2Mo structure, from Alexandria.

Values from the calculation:
Relative energy among the computed polymorphs, eV per atom: 0.079
Uncorrected energy, eV per formula unit: -44.74
ΔH_f (0 K), eV per atom: 0.21
Space group: P4/mbm
Magnetic moment, μB/f.u.: 0.0

a b c (Å): 7.2052 7.2052 2.5943
angles (deg): 90.00 90.00 90.00
Sites, in units of the cell vectors:
1 Co 0.1689 0.3311 0.0000
2 Co 0.3311 0.8311 0.0000
3 Co 0.6689 0.1689 0.0000
4 Co 0.8311 0.6689 0.0000
5 Tc 0.1267 0.6267 0.5000
6 Tc 0.3733 0.1267 0.5000
7 Tc 0.6267 0.8733 0.5000
8 Tc 0.8733 0.3733 0.5000
9 Mo 0.0000 0.0000 0.5000
10 Mo 0.5000 0.5000 0.5000


Record 12
The following is a PBE calculation of a geometry-optimized CoTc3Mo structure, from Alexandria.

Values from the calculation:
Relative energy among the computed polymorphs, eV per atom: 0.690
Uncorrected energy, eV per formula unit: -38.71
ΔH_f (0 K), eV per atom: 2.07
Space group: Pm-3m
Magnetic moment, μB/f.u.: 0.0

a b c (Å): 4.5973 4.5973 4.5973
angles (deg): 90.00 90.00 90.00
Sites, in units of the cell vectors:
1 Co 0.0000 0.0000 0.0000
2 Tc 0.0000 0.5000 0.5000
3 Tc 0.5000 0.0000 0.5000
4 Tc 0.5000 0.5000 0.0000
5 Mo 0.5000 0.5000 0.5000